5
Lattice="2.727 -8.802 0.000 2.727 8.802 0.000 0.000 0.000 3.543" Properties=species:S:1:pos:R:3 comment="La2Tb2Y (PBE-GGA, relaxed)" delta_e_f_ev_per_atom=0.077 space_group="Cmmm, No. 65" final_energy_ev_per_atom=-5.04 pbc="T T T"
La 2.727 5.320 0.000
La 2.727 -5.320 0.000
Tb 2.727 1.757 1.771
Tb 2.727 -1.757 1.771
Y 0.000 0.000 0.000

4
Lattice="5.228 0.000 0.000 0.000 5.228 0.000 0.000 0.000 3.732" Properties=species:S:1:pos:R:3 comment="La2FeAg (PBE-GGA, relaxed)" delta_e_f_ev_per_atom=0.076 space_group="P4/mmm, No. 123" final_energy_ev_per_atom=-5.22 pbc="T T T"
La 0.000 2.614 0.000
La 2.614 0.000 0.000
Fe 0.000 0.000 1.866
Ag 2.614 2.614 1.866

Copy entry 1 word for word.
5
Lattice="2.727 -8.802 0.000 2.727 8.802 0.000 0.000 0.000 3.543" Properties=species:S:1:pos:R:3 comment="La2Tb2Y (PBE-GGA, relaxed)" delta_e_f_ev_per_atom=0.077 space_group="Cmmm, No. 65" final_energy_ev_per_atom=-5.04 pbc="T T T"
La 2.727 5.320 0.000
La 2.727 -5.320 0.000
Tb 2.727 1.757 1.771
Tb 2.727 -1.757 1.771
Y 0.000 0.000 0.000